DFT (PBE+U) results for a relaxed FePN2O crystal.

Values from the calculation:
symmetry = P4/mmm (123)
total moment = 0.78 μB per atom
electronic total energy = -26.5 eV per cell

POSCAR file:
```
FePN2O
1.0
3.8335 0.0000 0.0000
0.0000 3.8335 0.0000
0.0000 0.0000 3.6653
Fe P N O
1 1 2 1
Direct
0.0000 0.0000 0.0000
0.5000 0.5000 0.5000
0.0000 0.5000 0.0000
0.5000 0.0000 0.0000
0.0000 0.0000 0.5000
```